# 1
DFT (PBE) results for a relaxed structure of La3TlIr.

```
La3TlIr
1.0
5.542 0.000 2.359
-2.771 4.799 2.359
-2.771 -4.799 2.359
Tl Ir La
1 1 3
Direct
0.831 0.831 0.831
0.439 0.439 0.439
0.075 0.456 0.075
0.456 0.075 0.075
0.075 0.075 0.456
```

Electronic total energy (eV per atom): -5.12
Space-group type: R3m (160)
Crystal system: trigonal
Magnetization (μB/atom): 0.00
Energy relative to the elements (eV/atom): 0.082
Relative energy among the computed polymorphs (eV per formula unit): 3.11

=====

# 2
DFT (PBE) results for a relaxed structure of La3TlIr.

```
La3TlIr
1.0
-1.892 8.078 -8.970
-3.880 0.111 0.919
-0.689 3.981 5.265
Tl Ir La
2 2 6
Direct
0.197 0.065 0.524
0.307 0.383 0.890
0.859 0.925 0.806
0.564 0.209 0.237
0.395 0.652 0.350
0.988 0.520 0.615
0.820 0.278 0.099
0.106 0.794 0.067
0.539 0.888 0.880
0.694 0.575 0.506
```

Electronic total energy (eV per atom): -5.69
Space-group type: Cm (8)
Crystal system: monoclinic
Magnetization (μB/atom): 0.00
Energy relative to the elements (eV/atom): -0.488
Relative energy among the computed polymorphs (eV per formula unit): 0.26